ThGa4Cu4 | PBE-GGA | optimized geometry

Output
Total DFT energy (no corrections), eV per atom: -4.113
DOS at the Fermi energy, states/eV per cell: 8.0

CIF file:
```
data_ThGa4Cu4
_chemical_formula_sum 'Th2 Ga8 Cu8'
_cell_length_a 8.244
_cell_length_b 8.244
_cell_length_c 4.519
_cell_angle_alpha 90.00
_cell_angle_beta 90.00
_cell_angle_gamma 90.00
_symmetry_space_group_name_H-M 'I 4/m'
_symmetry_Int_Tables_number 87
_symmetry_space_group_name_Hall '-I 4'
loop_
_atom_site_label
_atom_site_type_symbol
_atom_site_fract_x
_atom_site_fract_y
_atom_site_fract_z
_atom_site_occupancy
Th1 Th 0.000 0.000 0.000 1
Ga1 Ga 0.101 0.371 0.000 1
Cu1 Cu 0.116 0.218 0.500 1
```